ZnRuBr2 | PBE | relaxed

The structure belongs to space group I-4m2 (No. 119); the cell edges are 3.754, 3.754 and 13.138 Å and the angles 90.00°, 90.00° and 90.00°. The asymmetric unit holds Zn at (0.000, 0.000, 0.000), Ru at (0.000, 0.500, 0.250), Br at (0.000, 0.000, 0.500) and Br at (0.000, 0.500, 0.750).

The total magnetization comes out at 4.35 Bohr magnetons per cell. The calculation puts the formation energy without anion corrections at 0.605 eV/atom. As for the energy above the most stable polymorph in this dataset: 652 meV per atom.